The following is a DFT calculation (PBE-GGA) of K2DyHf2Te6 after structural relaxation.

abc: 7.2488 12.6174 8.8502
angles: 90.00 105.23 90.00
Last column: nearest neighbours and their distance in Å.
Space group C2/m (No. 12)
Symmetry-distinct sites (fractional):
K (0.0000, 0.1609, 0.0000) x4  6 Te 3.50-3.54
Dy (0.0000, 0.0000, 0.5000) x2  6 Te 3.06-3.08
Hf (0.0000, 0.3322, 0.5000) x4  6 Te 2.92-2.93
Te (0.2119, 0.5000, 0.7017) x4  2 Hf 2.93, 1 Dy 3.08
Te (0.2398, 0.1733, 0.7023) x8  2 Hf 2.92-2.93, 1 Dy 3.06

Results
**Magnetic moment**: 0.00 μB/f.u.
**Fermi-level density of states**: 9.77 states/eV per cell
**Raw formation energy**: -1058 meV per atom
**E**: -114.38 eV per cell